1.
Density functional theory data (PBE) for an optimized crystal structure of Ba3Au.

abc: 4.718 4.718 34.114
angles: 90.00 90.00 120.00
Fractional coordinates of all 12 atoms:
Ba: 0.000 0.000 0.000
Ba: 0.000 0.000 0.220
Ba: 0.000 0.000 0.780
Ba: 0.333 0.667 0.446
Ba: 0.333 0.667 0.667
Ba: 0.333 0.667 0.887
Ba: 0.667 0.333 0.113
Ba: 0.667 0.333 0.333
Ba: 0.667 0.333 0.554
Au: 0.000 0.000 0.500
Au: 0.333 0.667 0.167
Au: 0.667 0.333 0.833

The value obtained for the formation energy is -357 meV per atom.


2.
Density functional theory data (PBE) for an optimized crystal structure of Na2CrN2.

abc: 5.648 5.648 6.909
angles: 90.00 90.00 147.11
Fractional coordinates of all 10 atoms:
Na: 0.154 0.846 0.580
Na: 0.154 0.846 0.920
Na: 0.846 0.154 0.080
Na: 0.846 0.154 0.420
Cr: 0.425 0.575 0.750
Cr: 0.575 0.425 0.250
N: 0.175 0.825 0.250
N: 0.500 0.500 0.000
N: 0.500 0.500 0.500
N: 0.825 0.175 0.750

The value obtained for the uncorrected formation energy is -143 meV per atom.


3.
Density functional theory data (PBE) for an optimized crystal structure of ErLuCoAu.

abc: 6.863 6.863 6.863
angles: 90.00 90.00 90.00
Fractional coordinates of all 16 atoms:
Er: 0.000 0.000 0.000
Er: 0.000 0.500 0.500
Er: 0.500 0.000 0.500
Er: 0.500 0.500 0.000
Lu: 0.000 0.000 0.500
Lu: 0.000 0.500 0.000
Lu: 0.500 0.000 0.000
Lu: 0.500 0.500 0.500
Co: 0.250 0.250 0.250
Co: 0.250 0.750 0.750
Co: 0.750 0.250 0.750
Co: 0.750 0.750 0.250
Au: 0.250 0.250 0.750
Au: 0.250 0.750 0.250
Au: 0.750 0.250 0.250
Au: 0.750 0.750 0.750

The value obtained for the formation energy is -482 meV per atom.


no.,DOS(E_F) (states/eV/atom)
1,1.229
2,0.408
3,0.736